VASP calculation (GGA-PBE) on a relaxed structure of La3CoSe.

a b c (Å): 5.282 5.282 5.282
angles (deg): 90.00 90.00 90.00
Positions (direct):
La 0.500 0.000 0.000
Co 0.000 0.000 0.000
Se 0.500 0.500 0.500
La 0.000 0.500 0.000
La 0.000 0.000 0.500

Properties
* ΔE to the lowest computed polymorph: 0.00 eV/f.u.
* calculated total energy: -27.70 eV per cell



VASP calculation (GGA-PBE) on a relaxed structure of ZnGaAu2.

a b c (Å): 3.181 3.181 6.717
angles (deg): 90.00 90.00 90.00
Positions (direct):
Au 0.000 0.000 0.761
Zn 0.500 0.500 0.000
Ga 0.500 0.500 0.500
Au 0.000 0.000 0.239

Properties
* formation enthalpy at 0 K: -0.137 eV per atom
* calculated total energy: -11.41 eV per cell



VASP calculation (GGA-PBE) on a relaxed structure of K2PuZn2Te4.

a b c (Å): 4.549 8.466 8.547
angles (deg): 107.66 105.43 90.00
Last column: magnetic moment on the atom in μB.
Positions (direct):
K 0.129 0.557 0.257  0.00
Te 0.207 0.178 0.414  -0.01
Te 0.517 0.751 0.034  -0.04
Zn 0.669 0.987 0.339  0.01
Zn 0.331 0.013 0.661  0.01
Te 0.793 0.822 0.586  -0.01
K 0.871 0.443 0.743  0.00
Pu 0.000 0.000 0.000  5.51
Te 0.483 0.249 0.966  -0.04

Properties
* calculated total energy: -38.76 eV per cell



VASP calculation (GGA-PBE) on a relaxed structure of K12NaAg5.

a b c (Å): 10.375 10.375 10.375
angles (deg): 103.51 113.86 111.22
Positions (direct):
K 0.308 0.676 0.985
K 0.196 0.417 0.221
K 0.898 0.178 0.720
K 0.692 0.676 0.368
K 0.102 0.822 0.280
K 0.458 0.178 0.280
Ag 0.500 0.111 0.611
Ag 0.373 0.373 0.000
Ag 0.500 0.889 0.389
K 0.804 0.583 0.779
Ag 0.000 0.000 0.000
K 0.196 0.975 0.779
K 0.542 0.822 0.720
K 0.308 0.324 0.632
Ag 0.627 0.627 0.000
Na 0.000 0.500 0.500
K 0.692 0.324 0.015
K 0.804 0.025 0.221

Properties
* formation enthalpy at 0 K: 0.031 eV per atom
* calculated total energy: -28.18 eV per cell



VASP calculation (GGA-PBE) on a relaxed structure of ZnTeSeN2.

a b c (Å): 4.022 4.022 6.099
angles (deg): 90.00 90.00 90.00
Last column: magnetic moment on the atom in μB.
Positions (direct):
N 0.000 0.500 0.000  1.20
Zn 0.000 0.000 0.000  0.04
N 0.500 0.000 0.000  1.20
Te 0.500 0.500 0.500  0.13
Se 0.000 0.000 0.500  0.08

Properties
* ΔE to the lowest computed polymorph: 1.18 eV/f.u.
* calculated total energy: -17.37 eV per cell



VASP calculation (GGA-PBE) on a relaxed structure of V5Ru6W.

a b c (Å): 4.444 5.844 7.120
angles (deg): 90.00 115.18 90.00
Last column: magnetic moment on the atom in μB.
Positions (direct):
V 0.615 0.000 0.321  0.03
V 0.385 0.000 0.679  0.03
Ru 0.863 0.748 0.650  0.00
Ru 0.500 0.745 0.000  0.00
Ru 0.500 0.255 0.000  0.00
Ru 0.137 0.748 0.350  0.00
W 0.000 0.000 0.000  0.02
V 0.000 0.500 0.000  0.33
V 0.384 0.500 0.678  0.08
V 0.616 0.500 0.322  0.08
Ru 0.863 0.252 0.650  0.00
Ru 0.137 0.252 0.350  0.00

Properties
* formation enthalpy at 0 K: -0.174 eV per atom
* calculated total energy: -116.29 eV per cell



VASP calculation (GGA-PBE) on a relaxed structure of CaMgSe2.

a b c (Å): 5.468 5.468 5.468
angles (deg): 136.62 102.99 92.77
Positions (direct):
Mg 0.250 0.750 0.500
Ca 0.750 0.250 0.500
Se 0.479 0.479 0.000
Se 0.021 0.021 0.000

Properties
* calculated total energy: -15.73 eV per cell



VASP calculation (GGA-PBE) on a relaxed structure of Ba2ZrTcSe.

a b c (Å): 6.175 4.601 6.175
angles (deg): 90.00 90.00 90.00
Positions (direct):
Tc 0.000 0.500 0.000
Se 0.000 0.000 0.000
Zr 0.500 0.500 0.500
Ba 0.500 0.000 0.000
Ba 0.000 0.000 0.500

Properties
* calculated total energy: -23.67 eV per cell



VASP calculation (GGA-PBE) on a relaxed structure of Ta2SiIr.

a b c (Å): 3.988 2.982 5.592
angles (deg): 74.55 90.00 90.00
Positions (direct):
Ta 0.500 0.299 0.277
Ir 0.000 0.691 0.493
Si 0.500 0.552 0.770
Ta 0.000 0.958 0.959

Properties
* calculated total energy: -40.10 eV per cell



VASP calculation (GGA-PBE) on a relaxed structure of Li3Ag.

a b c (Å): 3.960 4.127 4.126
angles (deg): 90.00 90.00 90.00
Positions (direct):
Li 0.500 0.500 0.084
Li 0.000 0.500 0.583
Li 0.000 0.000 0.083
Ag 0.500 0.000 0.583

Properties
* ΔE to the lowest computed polymorph: 0.05 eV/f.u.
* formation enthalpy at 0 K: -0.134 eV per atom
* calculated total energy: -9.13 eV per cell



VASP calculation (GGA-PBE) on a relaxed structure of ScVSN2.

a b c (Å): 4.039 4.039 5.025
angles (deg): 90.00 90.00 90.00
Last column: magnetic moment on the atom in μB.
Positions (direct):
N 0.500 0.000 0.000  -0.64
N 0.000 0.500 0.000  -0.64
Sc 0.000 0.000 0.000  -0.02
S 0.000 0.000 0.500  -0.20
V 0.500 0.500 0.500  2.60

Properties
* ΔE to the lowest computed polymorph: 5.52 eV/f.u.
* calculated total energy: -33.38 eV per cell



VASP calculation (GGA-PBE) on a relaxed structure of Cr2IrW.

a b c (Å): 4.640 4.640 4.717
angles (deg): 80.94 80.94 33.49
Positions (direct):
Cr 0.491 0.491 0.511
Ir 0.750 0.750 0.750
W 0.250 0.250 0.250
Cr 0.009 0.009 0.989

Properties
* formation enthalpy at 0 K: 0.101 eV per atom
* calculated total energy: -40.66 eV per cell